A plane-wave DFT calculation with GGA-PBE was carried out for crystalline NdTi2Ga4 at its relaxed geometry.

Its density of states at the Fermi level is 10.581 states/eV/cell. The calculated formation energy is -0.426 eV per atom. The electronic total energy is -5.093 eV per atom. The calculation puts the spin magnetization at 0.00 Bohr magnetons per cell.

It has space group Immm (No. 71), with a = 3.869 Å, b = 3.985 Å, c = 17.442 Å, α = 90.00°, β = 90.00° and γ = 90.00°. The distinct sites, in fractional coordinates, are Nd at (0.000, 0.000, 0.000), Ti at (0.000, 0.500, 0.188), Ga at (0.000, 0.000, 0.425) and Ga at (0.000, 0.500, 0.339).

=====

A plane-wave DFT calculation with GGA-PBE was carried out for crystalline CdIn2Ag6 at its relaxed geometry.

Its density of states at the Fermi level is 3.033 states/eV/cell. The calculated formation energy is -0.027 eV per atom. The electronic total energy is -2.638 eV per atom. The calculation puts the spin magnetization at 0.00 Bohr magnetons per cell.

It has space group P4_2/mnm (No. 136), with a = 8.994 Å, b = 8.994 Å, c = 4.285 Å, α = 90.00°, β = 90.00° and γ = 90.00°. The distinct sites, in fractional coordinates, are Cd at (0.000, 0.000, 0.000), In at (0.178, 0.178, 0.500), Ag at (0.004, 0.336, 0.000) and Ag at (0.160, 0.840, 0.500).

=====

A plane-wave DFT calculation with GGA-PBE was carried out for crystalline AcSnPPd at its relaxed geometry.

Its density of states at the Fermi level is 7.643 states/eV/cell. The calculated formation energy is -0.517 eV per atom. The electronic total energy is -5.195 eV per atom. The calculation puts the spin magnetization at 0.00 Bohr magnetons per cell.

It has space group F-43m (No. 216), with a = 7.249 Å, b = 7.249 Å, c = 7.249 Å, α = 90.00°, β = 90.00° and γ = 90.00°. The distinct sites, in fractional coordinates, are Ac at (0.000, 0.000, 0.000), Sn at (0.000, 0.000, 0.500), P at (0.250, 0.250, 0.250) and Pd at (0.250, 0.250, 0.750).

=====

A plane-wave DFT calculation with GGA-PBE was carried out for crystalline Ta3GaMo at its relaxed geometry.

Its density of states at the Fermi level is 6.345 states/eV/cell. The calculated formation energy is 1.414 eV per atom. The electronic total energy is -8.470 eV per atom. The calculation puts the spin magnetization at 0.00 Bohr magnetons per cell. For the energy above the most stable polymorph in this dataset, the calculation gives 0.035 eV per atom.

It has space group Pm-3m (No. 221), with a = 4.675 Å, b = 4.675 Å, c = 4.675 Å, α = 90.00°, β = 90.00° and γ = 90.00°. The distinct sites, in fractional coordinates, are Ta at (0.000, 0.000, 0.500), Ga at (0.000, 0.000, 0.000) and Mo at (0.500, 0.500, 0.500).

=====

A plane-wave DFT calculation with GGA-PBE was carried out for crystalline BaErCu2S4 at its relaxed geometry.

Its density of states at the Fermi level is 5.951 states/eV/cell. The electronic total energy is -5.029 eV per atom. The calculation puts the spin magnetization at 0.00 Bohr magnetons per cell. As for the formation energy without anion corrections: -1.131 eV/atom.

It has space group I222 (No. 23), with a = 6.606 Å, b = 6.653 Å, c = 8.349 Å, α = 90.00°, β = 90.00° and γ = 90.00°. The distinct sites, in fractional coordinates, are Ba at (0.000, 0.000, 0.000), Er at (0.000, 0.000, 0.500), Cu at (0.000, 0.500, 0.245) and S at (0.216, 0.213, 0.301).

=====

A plane-wave DFT calculation with GGA-PBE was carried out for crystalline NaBBr4 at its relaxed geometry.

Its density of states at the Fermi level is 0.000 states/eV/cell. The electronic total energy is -3.231 eV per atom. The calculation puts the spin magnetization at 0.00 Bohr magnetons per cell. For the energy above the most stable polymorph in this dataset, the calculation gives 0.042 eV per atom. As for the formation energy without anion corrections: -0.783 eV/atom.

It has space group P2_1/m (No. 11), with a = 5.301 Å, b = 6.995 Å, c = 12.783 Å, α = 90.00°, β = 90.66° and γ = 90.00°. The distinct sites, in fractional coordinates, are Na at (0.249, 0.250, 0.455), B at (0.253, 0.250, 0.147), Br at (0.249, 0.750, 0.481), Br at (0.250, 0.250, 0.999) and Br at (0.255, 0.017, 0.225).

=====

A plane-wave DFT calculation with GGA-PBE was carried out for crystalline LiAcIn2Hg4 at its relaxed geometry.

Its density of states at the Fermi level is 9.943 states/eV/cell. The calculated formation energy is -0.317 eV per atom. The electronic total energy is -1.905 eV per atom. The calculation puts the spin magnetization at 0.00 Bohr magnetons per cell.

It has space group R-3m (No. 166, hexagonal axes), with a = 5.1470 Å, b = 5.1470 Å, c = 26.5266 Å, α = 90.00°, β = 90.00° and γ = 120.00°. The distinct sites, in fractional coordinates, are Li at (0.0000, 0.0000, 0.0000), Ac at (0.0000, 0.0000, 0.5000), In at (0.0000, 0.0000, 0.2497), Hg at (0.0000, 0.0000, 0.1097) and Hg at (0.0000, 0.0000, 0.3643).

=====

A plane-wave DFT calculation with GGA-PBE was carried out for crystalline Pm6SnIr3 at its relaxed geometry.

Its density of states at the Fermi level is 32.066 states/eV/cell. The calculated formation energy is -0.516 eV per atom. The electronic total energy is -6.425 eV per atom. The calculation puts the spin magnetization at 0.00 Bohr magnetons per cell. For the energy above the most stable polymorph in this dataset, the calculation gives 0.097 eV per atom.

It has space group Cmc2_1 (No. 36), with a = 11.051 Å, b = 14.142 Å, c = 7.373 Å, α = 90.00°, β = 90.00° and γ = 90.00°. The distinct sites, in fractional coordinates, are Pm at (0.000, 0.007, 0.000), Pm at (0.000, 0.225, 0.677), Pm at (0.166, 0.468, 0.588), Pm at (0.203, 0.288, 0.004), Sn at (0.000, 0.195, 0.261), Ir at (0.000, 0.403, 0.868) and Ir at (0.187, 0.103, 0.786).

=====

A plane-wave DFT calculation with GGA-PBE was carried out for crystalline Na2CdF at its relaxed geometry.

Its density of states at the Fermi level is 12.945 states/eV/cell. The electronic total energy is -2.154 eV per atom. The calculation puts the spin magnetization at 0.00 Bohr magnetons per cell. For the energy above the most stable polymorph in this dataset, the calculation gives 0.540 eV per atom. As for the formation energy without anion corrections: -0.798 eV/atom.

It has space group Fm-3m (No. 225), with a = 7.182 Å, b = 7.182 Å, c = 7.182 Å, α = 90.00°, β = 90.00° and γ = 90.00°. The distinct sites, in fractional coordinates, are Na at (0.250, 0.250, 0.250), Cd at (0.000, 0.000, 0.000) and F at (0.000, 0.000, 0.500).

=====

A plane-wave DFT calculation with GGA-PBE was carried out for crystalline MgZn4Cu2 at its relaxed geometry.

Its density of states at the Fermi level is 9.128 states/eV/cell. The calculated formation energy is -0.017 eV per atom. The electronic total energy is -2.144 eV per atom. The calculation puts the spin magnetization at 0.00 Bohr magnetons per cell. For the energy above the most stable polymorph in this dataset, the calculation gives 0.046 eV per atom.

It has space group I4/mcm (No. 140), with a = 7.425 Å, b = 7.425 Å, c = 8.013 Å, α = 90.00°, β = 90.00° and γ = 90.00°. The distinct sites, in fractional coordinates, are Mg at (0.000, 0.000, 0.250), Zn at (0.149, 0.351, 0.164) and Cu at (0.148, 0.352, 0.500).

=====

A plane-wave DFT calculation with GGA-PBE was carried out for crystalline CoRh at its relaxed geometry.

Its density of states at the Fermi level is 17.105 states/eV/cell. The calculated formation energy is 1.303 eV per atom. The electronic total energy is -5.926 eV per atom. The calculation puts the spin magnetization at 7.13 Bohr magnetons per cell.

It has space group Pm-3n (No. 223), with a = 6.434 Å, b = 6.434 Å, c = 6.434 Å, α = 90.00°, β = 90.00° and γ = 90.00°. The distinct sites, in fractional coordinates, are Co at (0.000, 0.250, 0.500) and Rh at (0.000, 0.500, 0.250).

=====

A plane-wave DFT calculation with GGA-PBE was carried out for crystalline Ga3Pd at its relaxed geometry.

Its density of states at the Fermi level is 2.509 states/eV/cell. The calculated formation energy is -0.172 eV per atom. The electronic total energy is -3.740 eV per atom. The calculation puts the spin magnetization at 0.00 Bohr magnetons per cell. For the energy above the most stable polymorph in this dataset, the calculation gives 0.178 eV per atom.

It has space group Pm-3m (No. 221), with a = 4.053 Å, b = 4.053 Å, c = 4.053 Å, α = 90.00°, β = 90.00° and γ = 90.00°. The distinct sites, in fractional coordinates, are Ga at (0.000, 0.000, 0.500) and Pd at (0.500, 0.500, 0.500).